A PBEsol-optimized structure of Y2BAu. Source: Alexandria, functional SCAN.

Unit cell a=6.146 b=6.146 c=6.146 alpha=109.46 beta=109.48 gamma=109.48
Site moments in Bohr magnetons follow the coordinates.
Fractional coordinates of all 8 atoms:
Y1 0.048 0.173 0.625  -0.06
Y2 0.548 0.375 0.423  -0.06
Y3 0.952 0.577 0.125  -0.06
Y4 0.452 0.875 0.827  -0.06
Au1 0.000 0.000 0.000  -0.01
Au2 0.500 0.750 0.250  -0.01
B1 0.000 0.500 0.500  -0.02
B2 0.500 0.250 0.750  -0.02

Symmetry = I-42d, No. 122
DFT total energy = -33.25 eV per atom
Calculated formation energy = -178.3 meV/atom
Magnetic moment = 0.37 Bohr magnetons per cell

A PBEsol-optimized structure of Te2MoAs. Source: Alexandria, functional SCAN.

Unit cell a=3.414 b=4.607 c=5.231 alpha=90.00 beta=90.00 gamma=90.00
Site moments in Bohr magnetons follow the coordinates.
Fractional coordinates of all 4 atoms:
Te1 0.000 0.000 0.000  -0.01
Te2 0.500 0.000 0.500  -0.08
As1 0.500 0.500 0.000  -0.08
Mo1 0.000 0.500 0.500  2.01

Symmetry = Pmmm, No. 47
DFT total energy = -31.67 eV per atom
Magnetic moment = 1.97 Bohr magnetons per cell
ΔE_f (raw) = 728 meV per atom

A PBEsol-optimized structure of Ca2LaSc. Source: Alexandria, functional SCAN.

Unit cell a=3.955 b=5.701 c=5.888 alpha=90.00 beta=90.00 gamma=90.00
Fractional coordinates of all 4 atoms:
Ca1 0.500 0.500 0.000
Ca2 0.000 0.000 0.000
Sc1 0.000 0.500 0.500
La1 0.500 0.000 0.500

Symmetry = Pmmm, No. 47
Energy relative to the lowest polymorph listed for this composition = 100 meV/atom
DFT total energy = -18.97 eV per atom
Calculated formation energy = 196.1 meV/atom
Magnetic moment = 0.00 Bohr magnetons per cell